Entry 1:
Density functional theory data (GGA-PBE) for ErSc3Fe after structural relaxation.

abc: 4.9141 4.9141 4.9141
angles: 90.00 90.00 90.00
Last column: nearest neighbours and their distance in Å.
Atoms (fractional coordinates):
Sc: 0.0000 0.5000 0.0000  2 Fe 2.46
Sc: 0.0000 0.0000 0.5000  2 Fe 2.46
Sc: 0.5000 0.0000 0.0000  2 Fe 2.46
Fe: 0.0000 0.0000 0.0000  6 Sc 2.46
Er: 0.5000 0.5000 0.5000  12 Sc 3.47

Values from the calculation:
- Symmetry: No. 221
- Energy of formation from the pure elements: 1 kJ per mole of atoms
- E: -31.95 eV per cell
- M_tot: 0.00 μB per atom

Entry 2:
Density functional theory data (GGA-PBE) for OsPbAu3 after structural relaxation.

abc: 5.0523 5.0523 5.0523
angles: 90.00 90.00 90.00
Last column: nearest neighbours and their distance in Å.
Atoms (fractional coordinates):
Pb: 0.5000 0.5000 0.5000  12 Au 3.57
Os: 0.0000 0.0000 0.0000  6 Au 2.53
Au: 0.0000 0.5000 0.0000  2 Os 2.53
Au: 0.0000 0.0000 0.5000  2 Os 2.53
Au: 0.5000 0.0000 0.0000  2 Os 2.53

Values from the calculation:
- Symmetry: No. 221
- Energy of formation from the pure elements: 88 kJ per mole of atoms
- E: -20.21 eV per cell
- M_tot: 0.00 μB per atom